Record 1
The following is a GGA-PBE calculation of a relaxed Na2Zr2PaTe6 crystal, from Alexandria.

Properties
- Final energy: -5.28 eV/atom
- Magnetic moment: 0.1869 μB per atom
- Volume: 31.8 A^3/atom
- Space group: C2/m, No. 12

Cell: 7.127 7.127 8.284 Å, 98.12 98.12 120.00°
Each line ends with the local moment (μB).
Element x y z (fractional)
Na  0.838  0.162  0.000  0.00
Na  0.162  0.838  0.000  0.00
Zr  0.332  0.668  0.500  0.36
Zr  0.668  0.332  0.500  0.36
Pa  0.000  0.000  0.500  0.89
Te  0.728  0.728  0.728  -0.02
Te  0.079  0.419  0.730  -0.02
Te  0.272  0.272  0.272  -0.02
Te  0.419  0.079  0.730  -0.02
Te  0.921  0.581  0.270  -0.02
Te  0.581  0.921  0.270  -0.02

=====

Record 2
The following is a GGA-PBE calculation of a relaxed NaTh2Pa crystal, from Alexandria.

Properties
- Formation energy from the elements: 290.8 meV per atom
- Magnetic moment: 0.0000 μB per atom
- Volume: 31.9 A^3/atom
- Space group: R-3m, No. 166

Cell: 3.391 3.391 12.974 Å, 82.49 82.49 60.00°
Element x y z (fractional)
Na  0.000  0.000  0.000
Pa  0.500  0.500  0.500
Th  0.093  0.093  0.722
Th  0.907  0.907  0.278

=====

Record 3
The following is a GGA-PBE calculation of a relaxed NaPaTl2 crystal, from Alexandria.

Properties
- Formation energy from the elements: 91.2 meV per atom
- Magnetic moment: 0.2801 μB per atom
- Volume: 26.4 A^3/atom
- Space group: P4/mmm, No. 123

Cell: 3.276 3.276 9.841 Å, 90.00 90.00 90.00°
Each line ends with the local moment (μB).
Element x y z (fractional)
Na  0.500  0.500  0.500  0.00
Tl  0.000  0.000  0.747  0.01
Tl  0.000  0.000  0.253  0.01
Pa  0.500  0.500  0.000  0.93

=====

Record 4
The following is a GGA-PBE calculation of a relaxed NaPaTl crystal, from Alexandria.

Properties
- Formation energy from the elements: 129.6 meV per atom
- Magnetic moment: 0.0007 μB per atom
- Volume: 26.9 A^3/atom
- Space group: Pm, No. 6

Cell: 6.286 5.405 9.657 Å, 105.53 103.34 30.74°
Element x y z (fractional)
Pa  0.939  0.753  0.714
Pa  0.439  0.741  0.719
Tl  0.440  0.960  0.416
Tl  0.440  0.269  0.015
Na  0.939  0.924  0.341
Na  0.940  0.306  0.095